No. 1
Material: CsNiSe2O8
Method: DFT, GGA+U
State: optimized geometry

The calculated total energy is -4.998 eV/atom.

The structure belongs to space group R-3 (No. 148, hexagonal axes); the cell edges are 5.0423, 5.0423 and 27.6854 Å and the angles 90.00°, 90.00° and 120.00°. The inequivalent atoms are Cs at (0.0000, 0.0000, 0.0000), Ni at (0.0000, 0.0000, 0.5000), Se at (0.0000, 0.0000, 0.2278), O at (0.0000, 0.0000, 0.2875) and O at (0.0001, 0.3638, 0.1242).


No. 2
Material: Cs2NiSe2O6
Method: DFT, GGA+U
State: optimized geometry

The calculated total energy is -4.887 eV/atom.

The structure belongs to space group C2/m (No. 12); the cell edges are 14.0282, 5.3981 and 7.7886 Å and the angles 90.00°, 122.31° and 90.00°. The inequivalent atoms are Cs at (0.2059, 0.0000, 0.2142), Ni at (0.0000, 0.0000, 0.5000), Se at (0.0236, 0.5000, 0.7942), O at (0.0721, 0.2451, 0.7246) and O at (0.1193, 0.5000, 0.3513).


No. 3
Material: CsNiSn2O
Method: DFT, GGA+U
State: optimized geometry

The calculated total energy is -1.975 eV/atom.

The structure belongs to space group P4/mmm (No. 123); the cell edges are 6.3869, 6.3869 and 4.2702 Å and the angles 90.00°, 90.00° and 90.00°. The inequivalent atoms are Cs at (0.0000, 0.0000, 0.0000), Ni at (0.5000, 0.5000, 0.5000), Sn at (0.0000, 0.5000, 0.0000) and O at (0.0000, 0.0000, 0.5000).


No. 4
Material: CsTc2NiO8
Method: DFT, GGA+U
State: optimized geometry

The calculated total energy is -6.769 eV/atom.

The structure belongs to space group P-3 (No. 147); the cell edges are 5.5036, 5.5036 and 8.5818 Å and the angles 90.00°, 90.00° and 120.00°. The inequivalent atoms are Cs at (0.0000, 0.0000, 0.0000), Tc at (0.3333, 0.6667, 0.7050), Ni at (0.0000, 0.0000, 0.5000), O at (0.0711, 0.3310, 0.6416) and O at (0.3333, 0.6667, 0.9091).


No. 5
Material: CsNiTeO4
Method: DFT, GGA+U
State: optimized geometry

The calculated total energy is -4.784 eV/atom.

The structure belongs to space group P2_1/m (No. 11); the cell edges are 6.5865, 6.0550 and 7.4716 Å and the angles 90.00°, 100.73° and 90.00°. The inequivalent atoms are Cs at (0.0949, 0.2500, 0.1386), Ni at (0.2907, 0.7500, 0.5387), Te at (0.4092, 0.2500, 0.7039), O at (0.2370, 0.5087, 0.7045), O at (0.2817, 0.7500, 0.2696) and O at (0.4068, 0.2500, 0.4504).


No. 6
Material: CsTiNiO3
Method: DFT, GGA+U
State: optimized geometry

The calculated total energy is -6.380 eV/atom.

The structure belongs to space group Cmcm (No. 63); the cell edges are 5.6341, 13.8123 and 5.5673 Å and the angles 90.00°, 90.00° and 90.00°. The inequivalent atoms are Cs at (0.0000, 0.2504, 0.2500), Ti at (0.0000, 0.0440, 0.7500), Ni at (0.0000, 0.4913, 0.7500), O at (0.0000, 0.1697, 0.7500) and O at (0.2275, 0.0000, 0.0000).